Here is a relaxed Tb6Y2Tm3 crystal from Alexandria via LeMat-Bulk. Energies are from PBE.

Cell lengths 4.6972, 4.6972, 16.9693 Å; angles 97.96, 97.96, 90.00 degrees
Element x y z (fractional)
Tb (0.1223, 0.6223, 0.2447)
Tb (0.6223, 0.1223, 0.2447)
Tb (0.8777, 0.3777, 0.7553)
Tb (0.3777, 0.8777, 0.7553)
Tb (0.6983, 0.6983, 0.3966)
Tb (0.3017, 0.3017, 0.6034)
Y (0.4540, 0.4540, 0.9079)
Y (0.5460, 0.5460, 0.0921)
Tm (0.0000, 0.0000, 0.0000)
Tm (0.8008, 0.8008, 0.6016)
Tm (0.1992, 0.1992, 0.3984)

Results
Density of states at the Fermi level = 1.484 states/eV/atom
Formation enthalpy at 0 K = 0.30 eV per atom
Space group = No. 139
Polymorph energy (0 for the lowest one) = 0.277 eV/atom